{"formula": "Ba2PuTe2O2", "functional": "GGA-PBE", "state": "optimized geometry", "lattice": [[-1.3439, -4.0338, 1.7859], [-1.6289, -1.2812, -4.1197], [9.4472, -0.8986, -0.8747]], "species": ["Te", "Te", "Ba", "Ba", "Pu", "O", "O"], "frac_coords": [[0.8264, 0.8264, 0.6527], [0.1736, 0.1736, 0.3473], [0.6182, 0.6182, 0.2364], [0.3818, 0.3818, 0.7636], [0.0000, 0.0000, 0.0000], [0.0000, 0.5000, 0.0000], [0.5000, 0.0000, 0.0000]], "vol_a3_per_cell": 190.4, "total_energy_ev_per_atom": -7.048, "density_g_cm3": 7.0, "magnetic_moment_mub_per_atom": 0.572, "sg": "I4/mmm (139)"}